## P
The following is a DFT calculation (PBE) of a geometry-optimized PmNd5Dy4 structure.

Geometry as CIF:
```
data_PmNd5Dy4
_space_group_name_H-M_alt 'P 1'
_space_group_IT_number 1
_cell_length_a 3.6035
_cell_length_b 10.5832
_cell_length_c 9.3302
_cell_angle_alpha 83.91
_cell_angle_beta 101.13
_cell_angle_gamma 90.00
loop_
_space_group_symop_operation_xyz
'x,y,z'
loop_
_atom_site_label
_atom_site_type_symbol
_atom_site_fract_x
_atom_site_fract_y
_atom_site_fract_z
_atom_site_occupancy
Pm1 Pm 0.5000 0.0000 0.0000 1
Nd1 Nd 0.8105 0.5973 0.6211 1
Nd2 Nd 0.8580 0.2313 0.7159 1
Nd3 Nd 0.1420 0.7687 0.2841 1
Nd4 Nd 0.5000 0.5000 0.0000 1
Nd5 Nd 0.1895 0.4027 0.3789 1
Dy1 Dy 0.3170 0.9115 0.6339 1
Dy2 Dy 0.9541 0.7610 0.9081 1
Dy3 Dy 0.6830 0.0885 0.3661 1
Dy4 Dy 0.0459 0.2390 0.0919 1
```

## Q
The following is a DFT calculation (PBE) of a geometry-optimized PmNd5Dy4 structure.

Geometry as CIF:
```
data_PmNd5Dy4
_space_group_name_H-M_alt 'P 1'
_space_group_IT_number 1
_cell_length_a 3.6275
_cell_length_b 10.2446
_cell_length_c 9.5666
_cell_angle_alpha 105.88
_cell_angle_beta 100.89
_cell_angle_gamma 89.96
loop_
_space_group_symop_operation_xyz
'x,y,z'
loop_
_atom_site_label
_atom_site_type_symbol
_atom_site_fract_x
_atom_site_fract_y
_atom_site_fract_z
_atom_site_occupancy
Pm1 Pm 0.5000 0.0000 0.0000 1
Nd1 Nd 0.7004 0.6004 0.4007 1
Nd2 Nd 0.1008 0.8032 0.2012 1
Nd3 Nd 0.8992 0.1968 0.7988 1
Nd4 Nd 0.5000 0.5000 0.0000 1
Nd5 Nd 0.2996 0.3996 0.5993 1
Dy1 Dy 0.6998 0.0999 0.3997 1
Dy2 Dy 0.1007 0.2978 0.2017 1
Dy3 Dy 0.3002 0.9001 0.6003 1
Dy4 Dy 0.8993 0.7022 0.7983 1
```

Relative stability in meV/atom, measured from the most stable structure: P 134; Q 0

## P
The following is a DFT calculation (PBE) of a geometry-optimized PmNd6Dy4 structure.

Geometry as CIF:
```
data_PmNd6Dy4
_space_group_name_H-M_alt 'P 1'
_space_group_IT_number 1
_cell_length_a 3.5947
_cell_length_b 11.1192
_cell_length_c 11.1192
_cell_angle_alpha 120.00
_cell_angle_beta 90.00
_cell_angle_gamma 90.00
loop_
_space_group_symop_operation_xyz
'x,y,z'
loop_
_atom_site_label
_atom_site_type_symbol
_atom_site_fract_x
_atom_site_fract_y
_atom_site_fract_z
_atom_site_occupancy
Pm1 Pm 0.0000 0.0000 0.0000 1
Nd1 Nd 0.0000 0.5245 0.0490 1
Nd2 Nd 0.5000 0.6352 0.8176 1
Nd3 Nd 0.0000 0.5245 0.4755 1
Nd4 Nd 0.0000 0.9510 0.4755 1
Nd5 Nd 0.5000 0.1824 0.8176 1
Nd6 Nd 0.5000 0.1824 0.3648 1
Dy1 Dy 0.5000 0.8394 0.6788 1
Dy2 Dy 0.5000 0.3212 0.1606 1
Dy3 Dy 0.5000 0.8394 0.1606 1
Dy4 Dy 0.0000 0.3333 0.6667 1
```

## Q
The following is a DFT calculation (PBE) of a geometry-optimized PmNd6Dy4 structure.

Geometry as CIF:
```
data_PmNd6Dy4
_space_group_name_H-M_alt 'P 1'
_space_group_IT_number 1
_cell_length_a 9.9799
_cell_length_b 9.9799
_cell_length_c 9.9799
_cell_angle_alpha 55.72
_cell_angle_beta 141.41
_cell_angle_gamma 141.41
loop_
_space_group_symop_operation_xyz
'x,y,z'
loop_
_atom_site_label
_atom_site_type_symbol
_atom_site_fract_x
_atom_site_fract_y
_atom_site_fract_z
_atom_site_occupancy
Pm1 Pm 0.0000 0.0000 0.0000 1
Nd1 Nd 0.0000 0.8145 0.4567 1
Nd2 Nd 0.0000 0.4567 0.8145 1
Nd3 Nd 0.3578 0.5433 0.5433 1
Nd4 Nd 0.5000 0.5000 0.0000 1
Nd5 Nd 0.6422 0.1855 0.1855 1
Nd6 Nd 0.5000 0.0000 0.5000 1
Dy1 Dy 0.0000 0.6386 0.0100 1
Dy2 Dy 0.3714 0.3614 0.3614 1
Dy3 Dy 0.0000 0.0100 0.6386 1
Dy4 Dy 0.6286 0.9900 0.9900 1
```

Relative stability in meV/atom, measured from the most stable structure: P 0; Q 142

## P
The following is a DFT calculation (PBE) of a geometry-optimized Pm2NdDy2 structure.

Geometry as CIF:
```
data_Pm2NdDy2
_space_group_name_H-M_alt 'P 1'
_space_group_IT_number 1
_cell_length_a 4.2392
_cell_length_b 4.2392
_cell_length_c 9.7681
_cell_angle_alpha 102.53
_cell_angle_beta 102.53
_cell_angle_gamma 90.00
loop_
_space_group_symop_operation_xyz
'x,y,z'
loop_
_atom_site_label
_atom_site_type_symbol
_atom_site_fract_x
_atom_site_fract_y
_atom_site_fract_z
_atom_site_occupancy
Pm1 Pm 0.8025 0.8025 0.6050 1
Pm2 Pm 0.1975 0.1975 0.3950 1
Nd1 Nd 0.0000 0.0000 0.0000 1
Dy1 Dy 0.6011 0.6011 0.2023 1
Dy2 Dy 0.3989 0.3989 0.7977 1
```

## Q
The following is a DFT calculation (PBE) of a geometry-optimized Pm2NdDy2 structure.

Geometry as CIF:
```
data_Pm2NdDy2
_space_group_name_H-M_alt 'P 1'
_space_group_IT_number 1
_cell_length_a 3.5548
_cell_length_b 8.8942
_cell_length_c 5.7220
_cell_angle_alpha 71.24
_cell_angle_beta 90.00
_cell_angle_gamma 101.53
loop_
_space_group_symop_operation_xyz
'x,y,z'
loop_
_atom_site_label
_atom_site_type_symbol
_atom_site_fract_x
_atom_site_fract_y
_atom_site_fract_z
_atom_site_occupancy
Pm1 Pm 0.7875 0.5749 0.2127 1
Pm2 Pm 0.2125 0.4251 0.7873 1
Nd1 Nd 0.5000 0.0000 0.0000 1
Dy1 Dy 0.9013 0.8026 0.5987 1
Dy2 Dy 0.0987 0.1974 0.4013 1
```

Relative stability in meV/atom, measured from the most stable structure: P 62; Q 0

## P
The following is a DFT calculation (PBE) of a geometry-optimized Pm2Nd4Dy3 structure.

Geometry as CIF:
```
data_Pm2Nd4Dy3
_space_group_name_H-M_alt 'P 1'
_space_group_IT_number 1
_cell_length_a 3.5787
_cell_length_b 9.8643
_cell_length_c 8.9219
_cell_angle_alpha 80.14
_cell_angle_beta 101.57
_cell_angle_gamma 90.00
loop_
_space_group_symop_operation_xyz
'x,y,z'
loop_
_atom_site_label
_atom_site_type_symbol
_atom_site_fract_x
_atom_site_fract_y
_atom_site_fract_z
_atom_site_occupancy
Pm1 Pm 0.6746 0.1217 0.3492 1
Pm2 Pm 0.3254 0.8783 0.6508 1
Nd1 Nd 0.4996 0.6684 0.9991 1
Nd2 Nd 0.3362 0.2198 0.6724 1
Nd3 Nd 0.5004 0.3316 0.0009 1
Nd4 Nd 0.6638 0.7802 0.3276 1
Dy1 Dy 0.1619 0.4572 0.3238 1
Dy2 Dy 0.8381 0.5428 0.6762 1
Dy3 Dy 0.0000 0.0000 0.0000 1
```

## Q
The following is a DFT calculation (PBE) of a geometry-optimized Pm2Nd4Dy3 structure.

Geometry as CIF:
```
data_Pm2Nd4Dy3
_space_group_name_H-M_alt 'P 1'
_space_group_IT_number 1
_cell_length_a 3.6370
_cell_length_b 3.6370
_cell_length_c 27.0117
_cell_angle_alpha 90.00
_cell_angle_beta 90.00
_cell_angle_gamma 120.00
loop_
_space_group_symop_operation_xyz
'x,y,z'
loop_
_atom_site_label
_atom_site_type_symbol
_atom_site_fract_x
_atom_site_fract_y
_atom_site_fract_z
_atom_site_occupancy
Pm1 Pm 0.6667 0.3333 0.0862 1
Pm2 Pm 0.6667 0.3333 0.8738 1
Nd1 Nd 0.0000 0.0000 0.5456 1
Nd2 Nd 0.6667 0.3333 0.4324 1
Nd3 Nd 0.6667 0.3333 0.2184 1
Nd4 Nd 0.0000 0.0000 0.7618 1
Dy1 Dy 0.0000 0.0000 0.9818 1
Dy2 Dy 0.0000 0.0000 0.3235 1
Dy3 Dy 0.6667 0.3333 0.6536 1
```

Relative stability in meV/atom, measured from the most stable structure: P 0; Q 7

## P
The following is a DFT calculation (PBE) of a geometry-optimized Pm12Nd7Dy structure.

Geometry as CIF:
```
data_Pm12Nd7Dy
_space_group_name_H-M_alt 'P 1'
_space_group_IT_number 1
_cell_length_a 7.1722
_cell_length_b 8.9510
_cell_length_c 12.1684
_cell_angle_alpha 75.43
_cell_angle_beta 72.92
_cell_angle_gamma 101.55
loop_
_space_group_symop_operation_xyz
'x,y,z'
loop_
_atom_site_label
_atom_site_type_symbol
_atom_site_fract_x
_atom_site_fract_y
_atom_site_fract_z
_atom_site_occupancy
Pm1 Pm 0.9088 0.4179 0.8948 1
Pm2 Pm 0.2506 0.0001 0.4991 1
Pm3 Pm 0.1975 0.1978 0.2005 1
Pm4 Pm 0.5534 0.8033 0.2977 1
Pm5 Pm 0.8413 0.5774 0.6060 1
Pm6 Pm 0.3428 0.5804 0.6041 1
Pm7 Pm 0.6572 0.4196 0.3959 1
Pm8 Pm 0.1587 0.4226 0.3940 1
Pm9 Pm 0.4466 0.1967 0.7023 1
Pm10 Pm 0.8025 0.8022 0.7995 1
Pm11 Pm 0.7494 0.9999 0.5009 1
Pm12 Pm 0.0912 0.5821 0.1052 1
Nd1 Nd 0.7009 0.1962 0.2007 1
Nd2 Nd 0.0496 0.8042 0.2994 1
Nd3 Nd 0.4060 0.4211 0.8949 1
Nd4 Nd 0.5000 0.0000 0.0000 1
Nd5 Nd 0.5940 0.5789 0.1051 1
Nd6 Nd 0.9504 0.1958 0.7006 1
Nd7 Nd 0.2991 0.8038 0.7993 1
Dy1 Dy 0.0000 0.0000 0.0000 1
```

## Q
The following is a DFT calculation (PBE) of a geometry-optimized Pm12Nd7Dy structure.

Geometry as CIF:
```
data_Pm12Nd7Dy
_space_group_name_H-M_alt 'P 1'
_space_group_IT_number 1
_cell_length_a 8.9105
_cell_length_b 8.9105
_cell_length_c 8.9105
_cell_angle_alpha 87.17
_cell_angle_beta 87.17
_cell_angle_gamma 87.17
loop_
_space_group_symop_operation_xyz
'x,y,z'
loop_
_atom_site_label
_atom_site_type_symbol
_atom_site_fract_x
_atom_site_fract_y
_atom_site_fract_z
_atom_site_occupancy
Pm1 Pm 0.8538 0.2531 0.7257 1
Pm2 Pm 0.7469 0.2743 0.1462 1
Pm3 Pm 0.6159 0.1353 0.4931 1
Pm4 Pm 0.8647 0.5069 0.3841 1
Pm5 Pm 0.2743 0.1462 0.7469 1
Pm6 Pm 0.5069 0.3841 0.8647 1
Pm7 Pm 0.4931 0.6159 0.1353 1
Pm8 Pm 0.7257 0.8538 0.2531 1
Pm9 Pm 0.1353 0.4931 0.6159 1
Pm10 Pm 0.3841 0.8647 0.5069 1
Pm11 Pm 0.2531 0.7257 0.8538 1
Pm12 Pm 0.1462 0.7469 0.2743 1
Nd1 Nd 0.8494 0.6049 0.9236 1
Nd2 Nd 0.3951 0.0764 0.1506 1
Nd3 Nd 0.0764 0.1506 0.3951 1
Nd4 Nd 0.5000 0.5000 0.5000 1
Nd5 Nd 0.9236 0.8494 0.6049 1
Nd6 Nd 0.6049 0.9236 0.8494 1
Nd7 Nd 0.1506 0.3951 0.0764 1
Dy1 Dy 0.0000 0.0000 0.0000 1
```

Relative stability in meV/atom, measured from the most stable structure: P 0; Q 178